Record 1
Below is a relaxed Tb8Pr6Sm crystal, with properties calculated at the GGA-PBE level.

```
data_Tb8Pr6Sm
_chemical_formula_sum 'Tb24 Pr18 Sm3'
_cell_length_a 9.1974
_cell_length_b 9.1974
_cell_length_c 21.0363
_cell_angle_alpha 90.00
_cell_angle_beta 90.00
_cell_angle_gamma 120.00
_space_group_name_H-M_alt 'R -3'
_space_group_IT_number 148
_space_group_name_Hall '-R 3'
loop_
_atom_site_label
_atom_site_type_symbol
_atom_site_fract_x
_atom_site_fract_y
_atom_site_fract_z
Tb1 Tb 0.0000 0.0000 0.0766
Tb2 Tb 0.0802 0.5232 0.3073
Pr1 Pr 0.0593 0.8117 0.2102
Sm1 Sm 0.0000 0.0000 0.5000
```

=====

Record 2
Below is a relaxed Tb15PrSm4 crystal, with properties calculated at the GGA-PBE level.

```
data_Tb15PrSm4
_chemical_formula_sum 'Tb15 Pr1 Sm4'
_cell_length_a 5.069
_cell_length_b 5.069
_cell_length_c 25.291
_cell_angle_alpha 90.00
_cell_angle_beta 90.00
_cell_angle_gamma 90.00
_space_group_name_H-M_alt 'P 4/m m m'
_space_group_IT_number 123
_space_group_name_Hall '-P 4 2'
loop_
_atom_site_label
_atom_site_type_symbol
_atom_site_fract_x
_atom_site_fract_y
_atom_site_fract_z
Tb1 Tb 0.000 0.000 0.000
Tb2 Tb 0.000 0.000 0.201
Tb3 Tb 0.000 0.000 0.400
Tb4 Tb 0.000 0.500 0.101
Tb5 Tb 0.000 0.500 0.300
Tb6 Tb 0.000 0.500 0.500
Pr1 Pr 0.500 0.500 0.000
Sm1 Sm 0.500 0.500 0.201
Sm2 Sm 0.500 0.500 0.400
```

=====

Record 3
Below is a relaxed Tb4PrSm3 crystal, with properties calculated at the GGA-PBE level.

```
data_Tb4PrSm3
_chemical_formula_sum 'Tb8 Pr2 Sm6'
_cell_length_a 11.577
_cell_length_b 7.329
_cell_length_c 6.325
_cell_angle_alpha 90.00
_cell_angle_beta 90.00
_cell_angle_gamma 90.00
_space_group_name_H-M_alt 'P m n 21'
_space_group_IT_number 31
loop_
_space_group_symop_operation_xyz
'x,y,z'
'-x+1/2,-y,z+1/2'
'-x,y,z'
'x+1/2,-y,z+1/2'
loop_
_atom_site_label
_atom_site_type_symbol
_atom_site_fract_x
_atom_site_fract_y
_atom_site_fract_z
Tb1 Tb 0.000 0.123 0.000
Tb2 Tb 0.000 0.877 0.500
Tb3 Tb 0.249 0.123 0.333
Pr1 Pr 0.000 0.626 0.999
Sm1 Sm 0.000 0.373 0.499
Sm2 Sm 0.250 0.373 0.833
```

=====

Record 4
Below is a relaxed Tb5PrSm3 crystal, with properties calculated at the GGA-PBE level.

```
data_Tb5PrSm3
_chemical_formula_sum 'Tb20 Pr4 Sm12'
_cell_length_a 15.319
_cell_length_b 11.482
_cell_length_c 9.935
_cell_angle_alpha 90.00
_cell_angle_beta 129.98
_cell_angle_gamma 90.00
_space_group_name_H-M_alt 'C 1 2/m 1'
_space_group_IT_number 12
loop_
_space_group_symop_operation_xyz
'x,y,z'
'-x,-y,-z'
'-x,y,-z'
'x,-y,z'
'x+1/2,y+1/2,z'
'-x+1/2,-y+1/2,-z'
'-x+1/2,y+1/2,-z'
'x+1/2,-y+1/2,z'
loop_
_atom_site_label
_atom_site_type_symbol
_atom_site_fract_x
_atom_site_fract_y
_atom_site_fract_z
Tb1 Tb 0.000 0.243 0.000
Tb2 Tb 0.147 0.250 0.748
Tb3 Tb 0.222 0.000 0.224
Tb4 Tb 0.226 0.500 0.047
Pr1 Pr 0.248 0.500 0.411
Sm1 Sm 0.000 0.000 0.500
Sm2 Sm 0.000 0.500 0.000
Sm3 Sm 0.007 0.000 0.814
Sm4 Sm 0.019 0.500 0.358
```

=====

Values for ΔE_f, meV/atom, ordered as above
118 17 26 494